First-principles (PBE-GGA) data for a relaxed structure of Er3Si4Ag, as listed in Alexandria.

Its raw formation energy is -0.466 eV/atom. As for the total magnetization: 0.000 μB/atom. As for the uncorrected energy: -0.193 hartree per atom.

It has space group Immm (No. 71), with a = 4.132 Å, b = 5.786 Å, c = 14.799 Å, α = 90.00°, β = 90.00° and γ = 90.00°. The inequivalent atoms are Er at (0.000, 0.000, 0.000), Er at (0.000, 0.500, 0.193), Si at (0.000, 0.299, 0.376) and Ag at (0.000, 0.000, 0.500).


First-principles (PBE-GGA) data for a relaxed structure of Er2Si2Ag3, as listed in Alexandria.

Its raw formation energy is -0.394 eV/atom. As for the total magnetization: 0.000 μB/atom. As for the uncorrected energy: -0.164 hartree per atom.

It has space group Cmmm (No. 65), with a = 3.685 Å, b = 18.882 Å, c = 4.039 Å, α = 90.00°, β = 90.00° and γ = 90.00°. The inequivalent atoms are Er at (0.000, 0.167, 0.000), Si at (0.000, 0.289, 0.500), Ag at (0.000, 0.000, 0.000) and Ag at (0.000, 0.428, 0.500).


First-principles (PBE-GGA) data for a relaxed structure of ErSi2Ag, as listed in Alexandria.

Its raw formation energy is -0.402 eV/atom. As for the total magnetization: 0.000 μB/atom. As for the uncorrected energy: -0.183 hartree per atom.

It has space group Pnma (No. 62), with a = 6.647 Å, b = 4.178 Å, c = 10.807 Å, α = 90.00°, β = 90.00° and γ = 90.00°. The inequivalent atoms are Er at (0.157, 0.250, 0.156), Si at (0.018, 0.250, 0.666), Si at (0.157, 0.250, 0.864) and Ag at (0.170, 0.250, 0.451).